[1]
# Cs2PbAu

Crystalline Cs2PbAu at its relaxed geometry (GGA-PBE, Alexandria via LeMat-Bulk).

The calculation puts the formation energy at 0.45 eV per formula unit. The calculation puts the energy above the lowest structure with this stoichiometry at 299 meV/atom.

The space group is R-3m (No. 166, hexagonal axes) and the conventional cell measures 4.2351, 4.2351 and 37.8214 Å, with angles of 90.00, 90.00 and 120.00 degrees. The asymmetric unit holds Cs at (0.0000, 0.0000, 0.1016), Pb at (0.0000, 0.0000, 0.0000) and Au at (0.0000, 0.0000, 0.5000).



[2]
# Cs2Pb6Au3

Crystalline Cs2Pb6Au3 at its relaxed geometry (GGA-PBE, Alexandria via LeMat-Bulk).

The calculation puts the formation energy at -1.21 eV per formula unit.

The space group is P-62m (No. 189) and the conventional cell measures 9.1197, 9.1197 and 5.0982 Å, with angles of 90.00, 90.00 and 120.00 degrees. The asymmetric unit holds Cs at (0.3333, 0.6667, 0.0000), Pb at (0.0000, 0.2033, 0.0000), Pb at (0.0000, 0.6933, 0.5000) and Au at (0.0000, 0.3694, 0.5000).



[3]
# CsPbAu

Crystalline CsPbAu at its relaxed geometry (GGA-PBE, Alexandria via LeMat-Bulk).

The calculation puts the formation energy at -0.43 eV per formula unit.

The space group is I4mm (No. 107) and the conventional cell measures 3.973, 3.973 and 13.613 Å, with angles of 90.00, 90.00 and 90.00 degrees. The asymmetric unit holds Cs at (0.000, 0.000, 0.000), Pb at (0.000, 0.000, 0.277) and Au at (0.000, 0.000, 0.705).



[4]
# CsPbAu2

Crystalline CsPbAu2 at its relaxed geometry (GGA-PBE, Alexandria via LeMat-Bulk).

The calculation puts the formation energy at -0.69 eV per formula unit.

The space group is C2/m (No. 12) and the conventional cell measures 8.730, 5.023 and 7.161 Å, with angles of 90.00, 114.15 and 90.00 degrees. The asymmetric unit holds Cs at (0.000, 0.000, 0.000), Pb at (0.000, 0.500, 0.500) and Au at (0.190, 0.000, 0.569).



[5]
# CsPb3Au3

Crystalline CsPb3Au3 at its relaxed geometry (GGA-PBE, Alexandria via LeMat-Bulk).

The calculation puts the formation energy at -0.23 eV per formula unit. The calculation puts the energy above the lowest structure with this stoichiometry at 51 meV/atom.

The space group is R-3 (No. 148, hexagonal axes) and the conventional cell measures 8.3438, 8.3438 and 26.7841 Å, with angles of 90.00, 90.00 and 120.00 degrees. The asymmetric unit holds Cs at (0.0000, 0.0000, 0.1632), Pb at (0.0129, 0.7428, 0.6168) and Au at (0.0221, 0.6152, 0.3917).



[6]
# Cs11PbAu5

Crystalline Cs11PbAu5 at its relaxed geometry (GGA-PBE, Alexandria via LeMat-Bulk).

The calculation puts the formation energy at -3.19 eV per formula unit.

The space group is C2/m (No. 12) and the conventional cell measures 13.820, 16.468 and 9.434 Å, with angles of 90.00, 113.74 and 90.00 degrees. The asymmetric unit holds Cs at (0.000, 0.000, 0.000), Cs at (0.066, 0.214, 0.779), Cs at (0.169, 0.500, 0.897), Cs at (0.216, 0.379, 0.427), Pb at (0.000, 0.000, 0.500), Au at (0.000, 0.500, 0.500) and Au at (0.189, 0.183, 0.184).



[7]
# Cs12Pb3Au5

Crystalline Cs12Pb3Au5 at its relaxed geometry (GGA-PBE, Alexandria via LeMat-Bulk).

The calculation puts the formation energy at -2.20 eV per formula unit.

The space group is Ia-3d (No. 230) and the conventional cell measures 22.023, 22.023 and 22.023 Å, with angles of 90.00, 90.00 and 90.00 degrees. The asymmetric unit holds Cs at (0.021, 0.065, 0.652), Pb at (0.000, 0.250, 0.125), Au at (0.000, 0.000, 0.000) and Au at (0.000, 0.250, 0.375).



[8]
# CsPtPb2Au

Crystalline CsPtPb2Au at its relaxed geometry (GGA-PBE, Alexandria via LeMat-Bulk).

The calculation puts the formation energy at 1.47 eV per formula unit.

The space group is P4/mmm (No. 123) and the conventional cell measures 5.535, 5.535 and 5.456 Å, with angles of 90.00, 90.00 and 90.00 degrees. The asymmetric unit holds Cs at (0.000, 0.000, 0.000), Pt at (0.500, 0.500, 0.000), Pb at (0.000, 0.500, 0.500) and Au at (0.500, 0.500, 0.500).



[9]
# Cs2RbPbAu

Crystalline Cs2RbPbAu at its relaxed geometry (GGA-PBE, Alexandria via LeMat-Bulk).

The calculation puts the formation energy at -0.38 eV per formula unit.

The space group is P4/mmm (No. 123) and the conventional cell measures 7.049, 7.049 and 5.705 Å, with angles of 90.00, 90.00 and 90.00 degrees. The asymmetric unit holds Cs at (0.000, 0.500, 0.000), Rb at (0.000, 0.000, 0.500), Pb at (0.500, 0.500, 0.500) and Au at (0.500, 0.500, 0.000).



[10]
# CsPbAuS2

Crystalline CsPbAuS2 at its relaxed geometry (GGA-PBE, Alexandria via LeMat-Bulk).

As for the uncorrected formation energy: -3.1 eV/f.u.

The space group is Cmme (No. 67) and the conventional cell measures 7.560, 15.432 and 5.825 Å, with angles of 90.00, 90.00 and 90.00 degrees. The asymmetric unit holds Cs at (0.000, 0.250, 0.234), Pb at (0.250, 0.000, 0.500), Au at (0.000, 0.000, 0.000) and S at (0.000, 0.115, 0.738).